No. 1
The following is a DFT calculation (GGA-PBE) of a relaxed Ca3Be2P4H10O20 crystal.

total DFT energy (no corrections)	-6.38	eV/atom

a b c (Å): 7.069 7.423 7.810
angles (deg): 101.56 94.71 96.64
Space group P-1 (No. 2)
Symmetry-distinct sites (fractional):
Ca: 0.000 0.000 0.000 (multiplicity 1)
Ca: 0.026 0.294 0.613 (multiplicity 2)
Be: 0.482 0.736 0.422 (multiplicity 2)
P: 0.269 0.360 0.304 (multiplicity 2)
P: 0.318 0.957 0.698 (multiplicity 2)
H: 0.178 0.653 0.029 (multiplicity 2)
H: 0.272 0.363 0.958 (multiplicity 2)
H: 0.287 0.818 0.171 (multiplicity 2)
H: 0.376 0.478 0.833 (multiplicity 2)
H: 0.491 0.157 0.125 (multiplicity 2)
O: 0.071 0.416 0.336 (multiplicity 2)
O: 0.118 0.016 0.719 (multiplicity 2)
O: 0.155 0.760 0.122 (multiplicity 2)
O: 0.251 0.449 0.878 (multiplicity 2)
O: 0.267 0.222 0.125 (multiplicity 2)
O: 0.302 0.807 0.525 (multiplicity 2)
O: 0.321 0.260 0.457 (multiplicity 2)
O: 0.371 0.866 0.859 (multiplicity 2)
O: 0.422 0.528 0.303 (multiplicity 2)
O: 0.476 0.121 0.709 (multiplicity 2)

=====

No. 2
The following is a DFT calculation (GGA-PBE) of a relaxed Ca3Be2P4H10O20 crystal.

total DFT energy (no corrections)	-6.39	eV/atom

a b c (Å): 7.064 15.319 7.433
angles (deg): 90.00 96.08 90.00
Space group P2_1/c (No. 14)
Symmetry-distinct sites (fractional):
Ca: 0.000 0.000 0.000 (multiplicity 2)
Ca: 0.044 0.194 0.357 (multiplicity 4)
Be: 0.450 0.711 0.126 (multiplicity 4)
P: 0.233 0.654 0.794 (multiplicity 4)
P: 0.354 0.152 0.026 (multiplicity 4)
H: 0.178 0.516 0.147 (multiplicity 4)
H: 0.264 0.019 0.374 (multiplicity 4)
H: 0.282 0.585 0.279 (multiplicity 4)
H: 0.374 0.082 0.518 (multiplicity 4)
H: 0.462 0.566 0.625 (multiplicity 4)
O: 0.035 0.676 0.851 (multiplicity 4)
O: 0.151 0.137 0.074 (multiplicity 4)
O: 0.153 0.562 0.239 (multiplicity 4)
O: 0.239 0.564 0.696 (multiplicity 4)
O: 0.246 0.060 0.475 (multiplicity 4)
O: 0.273 0.727 0.657 (multiplicity 4)
O: 0.355 0.238 0.917 (multiplicity 4)
O: 0.390 0.648 0.956 (multiplicity 4)
O: 0.401 0.073 0.900 (multiplicity 4)
O: 0.496 0.650 0.308 (multiplicity 4)

=====

No. 3
The following is a DFT calculation (GGA-PBE) of a relaxed Ca3Be2Si3H2O12 crystal.

total DFT energy (no corrections)	-7.08	eV/atom

a b c (Å): 9.898 9.898 9.960
angles (deg): 90.00 90.00 90.00
Space group P4_2/n (No. 86, origin choice 2)
Symmetry-distinct sites (fractional):
Ca: 0.044 0.435 0.240 (multiplicity 8)
Ca: 0.250 0.750 0.260 (multiplicity 4)
Be: 0.038 0.769 0.527 (multiplicity 8)
Si: 0.038 0.764 0.030 (multiplicity 8)
Si: 0.250 0.250 0.010 (multiplicity 4)
H: 0.042 0.247 0.679 (multiplicity 8)
O: 0.033 0.768 0.866 (multiplicity 8)
O: 0.036 0.792 0.366 (multiplicity 8)
O: 0.105 0.625 0.094 (multiplicity 8)
O: 0.109 0.627 0.588 (multiplicity 8)
O: 0.113 0.232 0.400 (multiplicity 8)
O: 0.118 0.226 0.909 (multiplicity 8)

=====

No. 4
The following is a DFT calculation (GGA-PBE) of a relaxed RbCaBe2H8 crystal.

total DFT energy (no corrections)	-3.17	eV/atom

a b c (Å): 4.3607 4.3607 8.7645
angles (deg): 90.00 90.00 120.00
Space group P-3m1 (No. 164)
Symmetry-distinct sites (fractional):
Rb: 0.0000 0.0000 0.0000 (multiplicity 1)
Ca: 0.0000 0.0000 0.5000 (multiplicity 1)
Be: 0.3333 0.6667 0.7011 (multiplicity 2)
H: 0.0104 0.5052 0.3728 (multiplicity 6)
H: 0.3333 0.6667 0.8614 (multiplicity 2)

=====

No. 5
The following is a DFT calculation (GGA-PBE) of a relaxed RbCaBeH6 crystal.

total DFT energy (no corrections)	-2.96	eV/atom

a b c (Å): 5.1802 5.1802 5.7816
angles (deg): 90.00 90.00 120.00
Space group P312 (No. 149)
Symmetry-distinct sites (fractional):
Rb: 0.0000 0.0000 0.0000 (multiplicity 1)
Ca: 0.3333 0.6667 0.5000 (multiplicity 1)
Be: 0.6667 0.3333 0.5000 (multiplicity 1)
H: 0.4273 0.0848 0.6672 (multiplicity 6)

=====

No. 6
The following is a DFT calculation (GGA-PBE) of a relaxed CaBe2HRu crystal.

total DFT energy (no corrections)	-1.87	eV/atom

a b c (Å): 5.397 5.397 4.676
angles (deg): 90.00 90.00 90.00
Space group P4/mmm (No. 123)
Symmetry-distinct sites (fractional):
Ca: 0.000 0.000 0.000 (multiplicity 1)
Be: 0.000 0.500 0.000 (multiplicity 2)
H: 0.500 0.500 0.500 (multiplicity 1)
Ru: 0.000 0.000 0.500 (multiplicity 1)

=====

No. 7
The following is a DFT calculation (GGA-PBE) of a relaxed CaBeSnH2 crystal.

total DFT energy (no corrections)	-2.85	eV/atom

a b c (Å): 3.951 3.951 6.351
angles (deg): 90.00 90.00 90.00
Space group P4/mmm (No. 123)
Symmetry-distinct sites (fractional):
Ca: 0.000 0.000 0.000 (multiplicity 1)
Be: 0.000 0.000 0.500 (multiplicity 1)
Sn: 0.500 0.500 0.500 (multiplicity 1)
H: 0.000 0.500 0.000 (multiplicity 2)

=====

No. 8
The following is a DFT calculation (GGA-PBE) of a relaxed CaY2BeH crystal.

total DFT energy (no corrections)	-4.26	eV/atom

a b c (Å): 4.775 4.775 4.749
angles (deg): 90.00 90.00 90.00
Space group P4/mmm (No. 123)
Symmetry-distinct sites (fractional):
Ca: 0.000 0.000 0.000 (multiplicity 1)
Y: 0.000 0.500 0.500 (multiplicity 2)
Be: 0.500 0.500 0.000 (multiplicity 1)
H: 0.000 0.000 0.500 (multiplicity 1)

=====

No. 9
The following is a DFT calculation (GGA-PBE) of a relaxed Ca2HfBe2 crystal.

formation energy from the elements	3.459	eV/f.u.

a b c (Å): 4.143 4.143 12.283
angles (deg): 90.00 90.00 90.00
Space group I4/mmm (No. 139)
Symmetry-distinct sites (fractional):
Ca: 0.000 0.500 0.250 (multiplicity 4)
Hf: 0.000 0.000 0.000 (multiplicity 2)
Be: 0.000 0.000 0.421 (multiplicity 4)

=====

No. 10
The following is a DFT calculation (GGA-PBE) of a relaxed CaHfBe crystal.

formation energy from the elements	0.803	eV/f.u.

a b c (Å): 10.362 3.193 8.448
angles (deg): 90.00 111.81 90.00
Space group Cm (No. 8)
Symmetry-distinct sites (fractional):
Ca: 0.000 0.000 0.000 (multiplicity 2)
Ca: 0.175 0.500 0.761 (multiplicity 2)
Hf: 0.023 0.000 0.379 (multiplicity 2)
Hf: 0.343 0.000 0.518 (multiplicity 2)
Be: 0.220 0.500 0.263 (multiplicity 2)
Be: 0.318 0.000 0.160 (multiplicity 2)

=====

No. 11
The following is a DFT calculation (GGA-PBE) of a relaxed CaHfBe crystal.

formation energy from the elements	2.156	eV/f.u.

a b c (Å): 6.532 6.532 6.532
angles (deg): 90.00 90.00 90.00
Space group F-43m (No. 216)
Symmetry-distinct sites (fractional):
Ca: 0.000 0.000 0.000 (multiplicity 4)
Hf: 0.000 0.000 0.500 (multiplicity 4)
Be: 0.250 0.250 0.750 (multiplicity 4)

=====

No. 12
The following is a DFT calculation (GGA-PBE) of a relaxed Ca2HfBe2 crystal.

formation energy from the elements	2.186	eV/f.u.

a b c (Å): 6.771 6.771 4.786
angles (deg): 90.00 90.00 90.00
Space group P4/mbm (No. 127)
Symmetry-distinct sites (fractional):
Ca: 0.177 0.323 0.000 (multiplicity 4)
Hf: 0.000 0.000 0.500 (multiplicity 2)
Be: 0.117 0.617 0.500 (multiplicity 4)

=====

Density of states at the Fermi level? In order: 0.000, 0.000, 0.000, 0.331, 0.316, 0.658, 0.439, 0.959, 1.173, 0.588, 1.051, 1.599 states/eV per atom.